[1]
First-principles (GGA-PBE) data for a relaxed structure of PrNd3, as listed in the Alexandria database.

Output
* uncorrected energy: -4.759 eV per atom
* magnetization: 0.0 μB/f.u.

Cell lengths 3.6843, 5.2348, 7.3642 Å; angles 90.00, 90.04, 90.00 degrees
Fractional coordinates of all 4 atoms:
Pr: 0.5000 0.5000 0.7500
Nd: 0.0001 0.0000 0.0010
Nd: 0.5000 0.5000 0.2500
Nd: 0.9999 0.0000 0.4990


[2]
First-principles (GGA-PBE) data for a relaxed structure of KBe2Se, as listed in the Alexandria database.

Output
* uncorrected energy: -2.270 eV per atom
* magnetization: 0.0 μB/f.u.
* formation energy (no corrections): 0.738 eV per atom

Cell lengths 6.2847, 6.2847, 2.8016 Å; angles 76.45, 76.45, 123.85 degrees
Fractional coordinates of all 4 atoms:
Be: 0.0000 0.0000 0.0000
Be: 0.5000 0.5000 0.0000
K: 0.5000 0.0000 0.5000
Se: 0.0000 0.5000 0.5000


[3]
First-principles (GGA-PBE) data for a relaxed structure of Sr2Zn6NiPt, as listed in the Alexandria database.

Output
* uncorrected energy: -2.589 eV per atom
* magnetization: 0.0 μB/f.u.

Cell lengths 6.7649, 6.7667, 6.7829 Å; angles 59.95, 59.96, 89.95 degrees
Fractional coordinates of all 10 atoms:
Sr: 0.7501 0.2501 0.4998
Sr: 0.2499 0.7499 0.5002
Zn: 0.2415 0.2415 0.5167
Zn: 0.7586 0.7586 0.9997
Zn: 0.2418 0.7584 0.0000
Zn: 0.7582 0.2416 0.0000
Zn: 0.2414 0.2414 0.0003
Zn: 0.7585 0.7585 0.4833
Ni: 0.0000 0.0000 0.0000
Pt: 0.5000 0.5000 0.0000


[4]
First-principles (GGA-PBE) data for a relaxed structure of TcIrW2, as listed in the Alexandria database.

Output
* uncorrected energy: -11.315 eV per atom
* magnetization: 0.0 μB/f.u.

Cell lengths 3.9148, 2.7883, 6.2735 Å; angles 63.66, 90.00, 90.00 degrees
Fractional coordinates of all 4 atoms:
Ir: 0.5000 0.2500 0.2500
Tc: 0.5000 0.7500 0.7500
W: 0.0000 0.0009 0.9983
W: 0.0000 0.4991 0.5017


[5]
First-principles (GGA-PBE) data for a relaxed structure of LaHIN2, as listed in the Alexandria database.

Output
* uncorrected energy: -4.420 eV per atom
* magnetization: 1.2 μB/f.u.

Cell lengths 4.5079, 4.5079, 3.6246 Å; angles 90.00, 90.00, 90.00 degrees
Last column: magnetic moment on the atom in μB.
Fractional coordinates of all 5 atoms:
I: 0.0000 0.0000 0.5000  0.05
H: 0.0000 0.0000 0.0000  0.01
N: 0.0000 0.5000 0.0000  0.41
N: 0.5000 0.0000 0.0000  0.41
La: 0.5000 0.5000 0.5000  -0.03


[6]
First-principles (GGA-PBE) data for a relaxed structure of CsTa3Ge, as listed in the Alexandria database.

Output
* uncorrected energy: -4.976 eV per atom
* magnetization: 0.0 μB/f.u.

Cell lengths 5.0438, 5.0438, 5.0438 Å; angles 90.00, 90.00, 90.00 degrees
Fractional coordinates of all 5 atoms:
Cs: 0.0000 0.0000 0.0000
Ge: 0.5000 0.5000 0.5000
Ta: 0.0000 0.5000 0.0000
Ta: 0.0000 0.0000 0.5000
Ta: 0.5000 0.0000 0.0000


[7]
First-principles (GGA-PBE) data for a relaxed structure of Li2PbW, as listed in the Alexandria database.

Output
* uncorrected energy: -4.479 eV per atom
* magnetization: 0.0 μB/f.u.

Cell lengths 4.6572, 4.6572, 3.0117 Å; angles 90.00, 90.00, 90.00 degrees
Fractional coordinates of all 4 atoms:
Li: 0.0000 0.0000 0.0000
Li: 0.5000 0.5000 0.0000
Pb: 0.5000 0.0000 0.5000
W: 0.0000 0.5000 0.5000


[8]
First-principles (GGA-PBE) data for a relaxed structure of SiTe2RuW, as listed in the Alexandria database.

Output
* uncorrected energy: -5.393 eV per atom
* magnetization: 2.4 μB/f.u.
* formation energy (no corrections): 1.394 eV per atom

Cell lengths 5.1941, 4.7830, 5.1941 Å; angles 90.00, 90.00, 90.00 degrees
Last column: magnetic moment on the atom in μB.
Fractional coordinates of all 5 atoms:
Ru: 0.0000 0.0000 0.0000  -0.09
Si: 0.5000 0.5000 0.5000  -0.06
Te: 0.0000 0.0000 0.5000  0.03
Te: 0.5000 0.0000 0.0000  0.07
W: 0.0000 0.5000 0.0000  1.88


[9]
First-principles (GGA-PBE) data for a relaxed structure of Ac2SmZn, as listed in the Alexandria database.

Output
* uncorrected energy: -3.260 eV per atom
* magnetization: 0.0 μB/f.u.

Cell lengths 3.7948, 3.7948, 12.8348 Å; angles 81.50, 81.50, 60.00 degrees
Fractional coordinates of all 4 atoms:
Ac: 0.0869 0.0869 0.7394
Ac: 0.9131 0.9131 0.2606
Zn: 0.0000 0.0000 0.0000
Sm: 0.5000 0.5000 0.5000


[10]
First-principles (GGA-PBE) data for a relaxed structure of CuH8C6N6O2, as listed in the Alexandria database.

Output
* uncorrected energy: -6.390 eV per atom
* magnetization: 1.0 μB/f.u.

Cell lengths 7.6298, 7.6298, 6.5601 Å; angles 67.70, 67.70, 56.74 degrees
Last column: magnetic moment on the atom in μB.
Fractional coordinates of all 23 atoms:
Cu: 0.0000 0.0000 0.0000  0.64
H: 0.3191 0.0728 0.4136  0.00
H: 0.2589 0.2589 0.7339  0.00
H: 0.6809 0.9272 0.5864  0.00
H: 0.9272 0.6809 0.5864  0.00
H: 0.6813 0.6813 0.6300  0.00
H: 0.7411 0.7411 0.2661  0.00
H: 0.3187 0.3187 0.3700  0.00
H: 0.0728 0.3191 0.4136  0.00
C: 0.2720 0.5854 0.8213  0.01
C: 0.7280 0.4146 0.1787  0.01
C: 0.4146 0.7280 0.1787  0.01
C: 0.7718 0.7718 0.5373  0.00
C: 0.5854 0.2720 0.8213  0.01
C: 0.2282 0.2282 0.4627  0.00
N: 0.2349 0.8428 0.1625  0.06
N: 0.8428 0.2349 0.1625  0.06
N: 0.1572 0.7651 0.8375  0.06
N: 0.3885 0.3885 0.7942  0.01
N: 0.6115 0.6115 0.2058  0.01
N: 0.7651 0.1572 0.8375  0.06
O: 0.1939 0.1939 0.7021  0.00
O: 0.8061 0.8061 0.2979  0.00


[11]
First-principles (GGA-PBE) data for a relaxed structure of TaBr, as listed in the Alexandria database.

Output
* uncorrected energy: -6.098 eV per atom
* magnetization: 0.0 μB/f.u.
* formation energy (no corrections): 0.665 eV per atom

Cell lengths 3.2605, 3.2605, 4.6448 Å; angles 90.00, 90.00, 125.01 degrees
Fractional coordinates of all 2 atoms:
Br: 0.0000 0.0000 0.0000
Ta: 0.5000 0.5000 0.5000


[12]
First-principles (GGA-PBE) data for a relaxed structure of Pr8Sc2Tl, as listed in the Alexandria database.

Output
* uncorrected energy: -4.870 eV per atom
* magnetization: 0.0 μB/f.u.

Cell lengths 5.0409, 8.0975, 9.4477 Å; angles 105.58, 105.47, 90.00 degrees
Fractional coordinates of all 11 atoms:
Pr: 0.5952 0.4482 0.1904
Pr: 0.3198 0.0895 0.6397
Pr: 0.1395 0.1881 0.2791
Pr: 0.0472 0.7276 0.0944
Pr: 0.8605 0.8119 0.7209
Pr: 0.6802 0.9105 0.3603
Pr: 0.4048 0.5518 0.8096
Pr: 0.9528 0.2724 0.9056
Sc: 0.2260 0.6292 0.4520
Sc: 0.7740 0.3708 0.5480
Tl: 0.5000 0.0000 0.0000